No. 1
Computed, not measured: an optimized crystal structure of ReMo at the PBE level of DFT.

abc: 4.3150 4.3150 5.1654
angles: 90.00 90.00 120.00
Space group P6_3/mmc (No. 194)
Symmetry-distinct sites (fractional):
Re: 0.3333 0.6667 0.2500
Mo: 0.3333 0.6667 0.7500

Computed properties:
For the calculated formation energy, the calculation gives 1.293 eV/atom. As for the polymorph energy (0 for the lowest one): 1.2002 eV per atom.


No. 2
Computed, not measured: an optimized crystal structure of Ce2TeNCl2 at the PBE level of DFT.

abc: 4.1053 9.9052 7.4752
angles: 90.00 90.00 90.00
Space group Pmc2_1 (No. 26)
Symmetry-distinct sites (fractional):
Ce: 0.0000 0.1747 0.0000
Ce: 0.5000 0.2697 0.3955
Te: 0.5000 0.0338 0.6970
N: 0.0000 0.2366 0.2766
Cl: 0.0000 0.3495 0.6650
Cl: 0.5000 0.3727 0.0249

Computed properties:
The energy relative to the elements, uncorrected is -1.712 eV per atom.


No. 3
Computed, not measured: an optimized crystal structure of DyInIrPt at the PBE level of DFT.

abc: 6.7372 6.7372 6.7372
angles: 90.00 90.00 90.00
Space group F-43m (No. 216)
Symmetry-distinct sites (fractional):
Dy: 0.0000 0.0000 0.0000
In: 0.0000 0.0000 0.5000
Ir: 0.2500 0.2500 0.7500
Pt: 0.2500 0.2500 0.2500

Computed properties:
For the calculated formation energy, the calculation gives -0.667 eV/atom.


No. 4
Computed, not measured: an optimized crystal structure of DyIn2Pd8 at the PBE level of DFT.

abc: 14.5489 4.1727 6.5212
angles: 90.00 107.71 90.00
Space group C2/m (No. 12)
Symmetry-distinct sites (fractional):
Dy: 0.0000 0.0000 0.0000
In: 0.2203 0.5000 0.6577
Pd: 0.0399 0.5000 0.7219
Pd: 0.0944 0.0000 0.4632
Pd: 0.1421 0.5000 0.1967
Pd: 0.1800 0.0000 0.9147

Computed properties:
For the calculated formation energy, the calculation gives -0.557 eV/atom.


No. 5
Computed, not measured: an optimized crystal structure of BaTiGe3 at the PBE level of DFT.

abc: 5.0095 5.0095 5.0095
angles: 90.00 90.00 90.00
Space group Pm-3m (No. 221)
Symmetry-distinct sites (fractional):
Ba: 0.0000 0.0000 0.0000
Ti: 0.5000 0.5000 0.5000
Ge: 0.0000 0.5000 0.5000

Computed properties:
For the calculated formation energy, the calculation gives -0.374 eV/atom.


No. 6
Computed, not measured: an optimized crystal structure of Na2HgRh at the PBE level of DFT.

abc: 3.0022 3.0022 32.8957
angles: 90.00 90.00 120.00
Space group R-3m (No. 166, hexagonal axes)
Symmetry-distinct sites (fractional):
Na: 0.0000 0.0000 0.0817
Hg: 0.0000 0.0000 0.5000
Rh: 0.0000 0.0000 0.0000

Computed properties:
For the calculated formation energy, the calculation gives 0.349 eV/atom. As for the polymorph energy (0 for the lowest one): 0.0955 eV per atom.


No. 7
Computed, not measured: an optimized crystal structure of Sm3GeSb at the PBE level of DFT.

abc: 7.4631 7.4674 8.1846
angles: 62.92 62.95 60.14
Space group P-1 (No. 2)
Symmetry-distinct sites (fractional):
Sm: 0.0382 0.2932 0.2551
Sm: 0.2067 0.0868 0.7446
Sm: 0.4145 0.5375 0.2554
Ge: 0.1665 0.6668 0.0010
Sb: 0.3537 0.8548 0.4370

Computed properties:
The energy relative to the elements, uncorrected is -0.662 eV per atom.


No. 8
Computed, not measured: an optimized crystal structure of Tb2Pm5NdSc at the PBE level of DFT.

abc: 5.6445 20.2802 10.4977
angles: 90.00 90.00 90.00
Space group Cmc2_1 (No. 36)
Symmetry-distinct sites (fractional):
Tb: 0.0000 0.1135 0.0000
Tb: 0.0000 0.1157 0.4258
Pm: 0.0000 0.0163 0.7049
Pm: 0.0000 0.2761 0.0105
Pm: 0.0000 0.2969 0.3962
Pm: 0.0000 0.3747 0.7086
Pm: 0.0000 0.4844 0.4327
Nd: 0.0000 0.4083 0.1492
Sc: 0.0000 0.1954 0.7037

Computed properties:
For the calculated formation energy, the calculation gives 0.159 eV/atom.


No. 9
Computed, not measured: an optimized crystal structure of CaHgGeRh2 at the PBE level of DFT.

abc: 5.0086 5.0086 5.2853
angles: 90.00 90.00 90.00
Space group P4/mmm (No. 123)
Symmetry-distinct sites (fractional):
Ca: 0.0000 0.0000 0.0000
Hg: 0.0000 0.0000 0.5000
Ge: 0.5000 0.5000 0.0000
Rh: 0.0000 0.5000 0.5000

Computed properties:
For the calculated formation energy, the calculation gives 0.941 eV/atom.


No. 10
Computed, not measured: an optimized crystal structure of ZnIrOs at the PBE level of DFT.

abc: 2.7432 2.7432 6.6122
angles: 90.00 90.00 120.00
Space group P3m1 (No. 156)
Symmetry-distinct sites (fractional):
Zn: 0.0000 0.0000 0.0000
Ir: 0.6667 0.3333 0.3365
Os: 0.3333 0.6667 0.6613

Computed properties:
For the calculated formation energy, the calculation gives 0.056 eV/atom. As for the polymorph energy (0 for the lowest one): 0.0265 eV per atom.


No. 11
Computed, not measured: an optimized crystal structure of BaTb4HoS8 at the PBE level of DFT.

abc: 8.2686 8.2686 20.1826
angles: 90.00 90.00 120.00
Space group R3m (No. 160, hexagonal axes)
Symmetry-distinct sites (fractional):
Ba: 0.0000 0.0000 0.0000
Tb: 0.0000 0.0000 0.2495
Tb: 0.1690 0.3380 0.4574
Ho: 0.0000 0.0000 0.6265
S: 0.0000 0.0000 0.3817
S: 0.0000 0.0000 0.8569
S: 0.0489 0.5244 0.3798
S: 0.1770 0.3540 0.2063

Computed properties:
The energy relative to the elements, uncorrected is -1.970 eV per atom.


No. 12
Computed, not measured: an optimized crystal structure of Tm6TlAg at the PBE level of DFT.

abc: 4.9887 4.9887 17.7826
angles: 90.00 90.00 90.00
Space group I4/mmm (No. 139)
Symmetry-distinct sites (fractional):
Tm: 0.0000 0.0000 0.2498
Tm: 0.0000 0.5000 0.1130
Tl: 0.0000 0.0000 0.0000
Ag: 0.0000 0.0000 0.5000

Computed properties:
For the calculated formation energy, the calculation gives -0.146 eV/atom.


No. 13
Computed, not measured: an optimized crystal structure of RbPrBeTe3 at the PBE level of DFT.

abc: 16.9807 5.3399 9.6902
angles: 90.00 103.10 90.00
Space group C2/m (No. 12)
Symmetry-distinct sites (fractional):
Rb: 0.1458 0.0000 0.0562
Pr: 0.1464 0.0000 0.5644
Be: 0.0068 0.5000 0.2873
Te: 0.0049 0.0000 0.2892
Te: 0.1422 0.5000 0.7689
Te: 0.1598 0.5000 0.3493

Computed properties:
The energy relative to the elements, uncorrected is -0.789 eV per atom.


No. 14
Computed, not measured: an optimized crystal structure of MgGaSeN2 at the PBE level of DFT.

abc: 3.8512 3.8512 5.6556
angles: 90.00 90.00 90.00
Space group P4/mmm (No. 123)
Symmetry-distinct sites (fractional):
Mg: 0.0000 0.0000 0.0000
Ga: 0.5000 0.5000 0.5000
Se: 0.5000 0.5000 0.0000
N: 0.0000 0.5000 0.5000

Computed properties:
The energy relative to the elements, uncorrected is 0.718 eV per atom. As for the polymorph energy (0 for the lowest one): 0.0000 eV per atom.


No. 15
Computed, not measured: an optimized crystal structure of TmZr2Zn at the PBE level of DFT.

abc: 3.2726 3.2726 8.3275
angles: 90.00 90.00 90.00
Space group P4/mmm (No. 123)
Symmetry-distinct sites (fractional):
Tm: 0.0000 0.0000 0.0000
Zr: 0.5000 0.5000 0.2832
Zn: 0.0000 0.0000 0.5000

Computed properties:
For the calculated formation energy, the calculation gives -0.061 eV/atom. As for the polymorph energy (0 for the lowest one): 0.0692 eV per atom.


No. 16
Computed, not measured: an optimized crystal structure of ErTmCo at the PBE level of DFT.

abc: 3.3242 3.3242 12.4129
angles: 90.00 90.00 90.00
Space group I4mm (No. 107)
Symmetry-distinct sites (fractional):
Er: 0.0000 0.0000 0.0000
Tm: 0.0000 0.0000 0.7422
Co: 0.0000 0.0000 0.3703

Computed properties:
For the calculated formation energy, the calculation gives -0.163 eV/atom. As for the polymorph energy (0 for the lowest one): 0.0000 eV per atom.


No. 17
Computed, not measured: an optimized crystal structure of TaSiRh at the PBE level of DFT.

abc: 2.8923 2.8923 10.4818
angles: 90.00 90.00 90.00
Space group I4mm (No. 107)
Symmetry-distinct sites (fractional):
Ta: 0.0000 0.0000 0.0000
Si: 0.0000 0.0000 0.6725
Rh: 0.0000 0.0000 0.3035

Computed properties:
The energy relative to the elements, uncorrected is -0.624 eV per atom.


No. 18
Computed, not measured: an optimized crystal structure of PrPuPa4 at the PBE level of DFT.

abc: 8.6534 8.6534 8.6534
angles: 90.00 90.00 90.00
Space group F-43m (No. 216)
Symmetry-distinct sites (fractional):
Pr: 0.0000 0.0000 0.0000
Pu: 0.2500 0.2500 0.7500
Pa: 0.1250 0.1250 0.3750

Computed properties:
For the calculated formation energy, the calculation gives 0.279 eV/atom.


No. 19
Computed, not measured: an optimized crystal structure of NaGaAu2 at the PBE level of DFT.

abc: 4.5119 4.5119 14.5962
angles: 90.00 90.00 120.00
Space group R3m (No. 160, hexagonal axes)
Symmetry-distinct sites (fractional):
Na: 0.0000 0.0000 0.0000
Ga: 0.0000 0.0000 0.7921
Au: 0.0000 0.0000 0.2144
Au: 0.0000 0.0000 0.4640

Computed properties:
For the calculated formation energy, the calculation gives -0.198 eV/atom.


No. 20
Computed, not measured: an optimized crystal structure of TaBeCo at the PBE level of DFT.

abc: 3.9033 3.9033 2.8001
angles: 90.00 90.00 120.00
Space group P3m1 (No. 156)
Symmetry-distinct sites (fractional):
Ta: 0.0000 0.0000 0.0000
Be: 0.6667 0.3333 0.4995
Co: 0.3333 0.6667 0.5031

Computed properties:
For the calculated formation energy, the calculation gives -0.169 eV/atom. As for the polymorph energy (0 for the lowest one): 0.1398 eV per atom.


No. 21
Computed, not measured: an optimized crystal structure of Hf2MgV2 at the PBE level of DFT.

abc: 7.1886 7.1886 3.6481
angles: 90.00 90.00 90.00
Space group P4/mbm (No. 127)
Symmetry-distinct sites (fractional):
Hf: 0.1713 0.3287 0.0000
Mg: 0.0000 0.0000 0.5000
V: 0.1189 0.6189 0.5000

Computed properties:
For the calculated formation energy, the calculation gives 0.197 eV/atom.


No. 22
Computed, not measured: an optimized crystal structure of KVCd at the PBE level of DFT.

abc: 3.0278 6.3602 8.9590
angles: 71.25 85.22 81.74
Space group P1 (No. 1)
Symmetry-distinct sites (fractional):
K: 0.0000 0.0000 0.0000
K: 0.0059 0.3781 0.2566
V: 0.0197 0.4367 0.6454
V: 0.2296 0.5952 0.7655
Cd: 0.4411 0.7951 0.4119
Cd: 0.6401 0.0331 0.6387

Computed properties:
For the calculated formation energy, the calculation gives 0.467 eV/atom. As for the polymorph energy (0 for the lowest one): 0.1502 eV per atom.


No. 23
Computed, not measured: an optimized crystal structure of Ti6InC at the PBE level of DFT.

abc: 7.9572 7.9572 7.2150
angles: 90.00 90.00 120.00
Space group R-3 (No. 148, hexagonal axes)
Symmetry-distinct sites (fractional):
Ti: 0.0681 0.2440 0.1618
In: 0.0000 0.0000 0.5000
C: 0.0000 0.0000 0.0000

Computed properties:
For the calculated formation energy, the calculation gives -0.257 eV/atom.


No. 24
Computed, not measured: an optimized crystal structure of LiEr3Al at the PBE level of DFT.

abc: 5.0289 19.8995 5.0276
angles: 90.00 90.00 90.00
Space group Cmcm (No. 63)
Symmetry-distinct sites (fractional):
Li: 0.0000 0.1582 0.2500
Er: 0.0000 0.0628 0.7500
Er: 0.0000 0.2496 0.7500
Er: 0.0000 0.4363 0.7500
Al: 0.0000 0.3411 0.2500

Computed properties:
For the calculated formation energy, the calculation gives -0.147 eV/atom.


No. 25
Computed, not measured: an optimized crystal structure of HfIn2Cl7 at the PBE level of DFT.

abc: 15.9809 10.1856 11.2620
angles: 90.00 132.13 90.00
Space group C2/c (No. 15)
Symmetry-distinct sites (fractional):
Hf: 0.0000 0.0471 0.2500
In: 0.1953 0.4495 0.5528
Cl: 0.0000 0.4796 0.2500
Cl: 0.0845 0.1534 0.1571
Cl: 0.1280 0.1371 0.8290
Cl: 0.1737 0.1323 0.5209

Computed properties:
The energy relative to the elements, uncorrected is -1.268 eV per atom.


The total magnetization results, record by record, are as follows: 0.00; 0.26; 0.00; 0.00; 0.00; 2.01; 0.00; 0.00; 0.00; 0.00; 0.00; 0.00; 0.00; 2.25; 0.00; 1.33; 0.00; 17.17; 0.00; 0.00; 0.00; 0.00; 0.00; 0.00; 0.00 μB/cell.